(1)
A relaxed Zn2CuNi9 crystal. Source: Alexandria, functional PBE-GGA.

Cell lengths 3.566, 3.566, 10.687 Å; angles 90.00, 90.00, 90.00 degrees
Last column: magnetic moment on the atom in μB.
Fractional coordinates of all 12 atoms:
1 Zn 0.000 0.000 0.332  -0.02
2 Zn 0.000 0.000 0.668  -0.02
3 Cu 0.000 0.000 0.000  0.06
4 Ni 0.500 0.500 0.000  0.55
5 Ni 0.500 0.500 0.332  0.46
6 Ni 0.500 0.500 0.668  0.46
7 Ni 0.500 0.000 0.164  0.51
8 Ni 0.500 0.000 0.500  0.43
9 Ni 0.500 0.000 0.836  0.51
10 Ni 0.000 0.500 0.164  0.51
11 Ni 0.000 0.500 0.500  0.43
12 Ni 0.000 0.500 0.836  0.51

Summary:
Spin magnetization, μB per atom: 0.352
Density, g/cm³: 8.8
E_form, eV per atom: -0.060
V, Å³/f.u.: 135.9

(2)
A relaxed Sr2SiSe crystal. Source: Alexandria, functional PBE-GGA.

Cell lengths 5.499, 5.484, 3.742 Å; angles 90.00, 90.00, 90.00 degrees
Fractional coordinates of all 4 atoms:
1 Se 0.500 0.000 0.500
2 Si 0.000 0.500 0.500
3 Sr 0.000 0.000 0.000
4 Sr 0.500 0.500 0.000

Summary:
Raw formation energy, eV per atom: -0.81
Energy above the most stable polymorph in this dataset, eV/atom: 0.124
Spin magnetization, μB per atom: 0.000
Density, g/cm³: 4.2
V, Å³/f.u.: 112.9

(3)
A relaxed BeRe2W crystal. Source: Alexandria, functional PBE-GGA.

Cell lengths 8.569, 8.569, 8.569 Å; angles 18.68, 18.68, 18.68 degrees
Fractional coordinates of all 4 atoms:
1 Re 0.007 0.007 0.007
2 Re 0.493 0.493 0.493
3 W 0.250 0.250 0.250
4 Be 0.750 0.750 0.750

Summary:
Spin magnetization, μB per atom: 0.000
Density, g/cm³: 16.6
E_form, eV per atom: 0.244
V, Å³/f.u.: 56.4

Number 1 is which compound? Zn2CuNi9

What did the first record say?
A relaxed Zn2CuNi9 crystal. Source: Alexandria, functional PBE-GGA.

Cell lengths 3.566, 3.566, 10.687 Å; angles 90.00, 90.00, 90.00 degrees
Last column: magnetic moment on the atom in μB.
Fractional coordinates of all 12 atoms:
1 Zn 0.000 0.000 0.332  -0.02
2 Zn 0.000 0.000 0.668  -0.02
3 Cu 0.000 0.000 0.000  0.06
4 Ni 0.500 0.500 0.000  0.55
5 Ni 0.500 0.500 0.332  0.46
6 Ni 0.500 0.500 0.668  0.46
7 Ni 0.500 0.000 0.164  0.51
8 Ni 0.500 0.000 0.500  0.43
9 Ni 0.500 0.000 0.836  0.51
10 Ni 0.000 0.500 0.164  0.51
11 Ni 0.000 0.500 0.500  0.43
12 Ni 0.000 0.500 0.836  0.51

Summary:
Spin magnetization, μB per atom: 0.352
Density, g/cm³: 8.8
E_form, eV per atom: -0.060
V, Å³/f.u.: 135.9

Look up the density of the second one. 4.2 g/cm³